(1)
RbAsI2: optimized geometry, PBE.

Cell and atoms, written as POSCAR:
```
RbAsI2
1.0
-1.614 -4.086 4.069
-1.388 1.707 5.569
-5.677 -0.266 1.886
As I Rb
1 2 1
Cartesian
0.000 0.000 0.000 As
-6.509 -1.984 8.643 I
-2.170 -0.661 2.881 I
-4.339 -1.322 5.762 Rb
```

Values from the calculation:
D(E_F) ... 8.557 states/eV/f.u.
Energy above the lowest structure with this stoichiometry ... 269.5 meV per atom
Uncorrected formation energy ... -0.092 eV per atom
Space group ... No. 225
Spin magnetization ... 2.0 μB/cell

(2)
Zn2Ni15Rh2: optimized geometry, PBE.

Cell and atoms, written as POSCAR:
```
Zn2Ni15Rh2
1.0
-1.590 5.689 1.873
-0.315 -1.138 6.083
5.647 2.018 1.562
Ni Zn Rh
15 2 2
Cartesian
3.324 3.196 1.662 Ni
-0.318 3.328 5.493 Ni
0.733 4.511 1.773 Ni
-1.181 3.498 3.224 Ni
3.734 1.005 3.013 Ni
-0.795 2.844 0.937 Ni
0.497 5.048 4.179 Ni
1.598 -0.125 4.632 Ni
1.125 1.687 6.251 Ni
2.824 1.009 0.781 Ni
2.617 4.881 3.267 Ni
-0.724 1.053 4.732 Ni
3.244 1.521 5.340 Ni
-0.158 -0.569 3.042 Ni
4.060 3.241 4.025 Ni
3.342 5.867 8.502 Zn
0.400 0.702 1.017 Zn
2.310 4.055 5.876 Rh
1.432 2.514 3.642 Rh
```

Values from the calculation:
D(E_F) ... 24.358 states/eV/f.u.
Energy above the lowest structure with this stoichiometry ... 17.0 meV per atom
Space group ... No. 166
Spin magnetization ... 10.3 μB/cell
Formation enthalpy at 0 K ... 243 kJ/mol of formula units

(3)
SiBiIrAu: optimized geometry, PBE.

Cell and atoms, written as POSCAR:
```
SiBiIrAu
1.0
3.298 0.000 0.004
0.000 2.963 0.000
-0.887 0.000 8.342
Au Bi Si Ir
1 1 1 1
Cartesian
2.109 1.481 5.397 Au
1.069 0.000 2.754 Bi
2.169 0.000 7.462 Si
1.397 1.481 0.141 Ir
```

Values from the calculation:
D(E_F) ... 1.672 states/eV/f.u.
Energy above the lowest structure with this stoichiometry ... 59.1 meV per atom
Uncorrected formation energy ... -0.066 eV per atom
Space group ... No. 6
Spin magnetization ... 0.0 μB/cell

(4)
CaB2Cl: optimized geometry, PBE.

Cell and atoms, written as POSCAR:
```
CaB2Cl
1.0
0.000 3.255 3.255
3.255 0.000 3.255
3.255 3.255 0.000
Cl B Ca
1 2 1
Cartesian
0.000 0.000 0.000 Cl
1.628 1.628 1.628 B
4.883 4.883 4.883 B
3.255 3.255 3.255 Ca
```

Values from the calculation:
D(E_F) ... 3.597 states/eV/f.u.
Energy above the lowest structure with this stoichiometry ... 314.0 meV per atom
Uncorrected formation energy ... 1.444 eV per atom
Space group ... No. 225
Spin magnetization ... 0.0 μB/cell